[1]
Compound: LaH2RuN
Source: Alexandria
Functional: PBE
Structure: optimized geometry

The calculation puts the theoretical density at 7.57 g/cm3. The electronic total energy comes out at -6.44 eV per atom.

The space group is P4/mmm (No. 123) and the conventional cell measures 3.7129, 3.7129 and 4.0722 Å, with angles of 90.00, 90.00 and 90.00 degrees. The asymmetric unit holds La at (0.0000, 0.0000, 0.0000), H at (0.0000, 0.5000, 0.5000), Ru at (0.5000, 0.5000, 0.5000) and N at (0.5000, 0.5000, 0.0000).



[2]
Compound: LaHSN2
Source: Alexandria
Functional: PBE
Structure: optimized geometry

The calculation puts the theoretical density at 2.41 g/cm3. The electronic total energy comes out at -4.43 eV per atom. As for the relative energy among the computed polymorphs: 822 meV/atom.

The space group is P4/mmm (No. 123) and the conventional cell measures 4.9005, 4.9005 and 5.7365 Å, with angles of 90.00, 90.00 and 90.00 degrees. The asymmetric unit holds La at (0.0000, 0.0000, 0.0000), H at (0.5000, 0.5000, 0.5000), S at (0.0000, 0.0000, 0.5000) and N at (0.0000, 0.5000, 0.0000).



[3]
Compound: LaHSN2
Source: Alexandria
Functional: PBE
Structure: optimized geometry

The calculation puts the theoretical density at 5.57 g/cm3. The electronic total energy comes out at -5.26 eV per atom. As for the relative energy among the computed polymorphs: 0 meV/atom.

The space group is P4/mmm (No. 123) and the conventional cell measures 4.1625, 4.1625 and 3.4400 Å, with angles of 90.00, 90.00 and 90.00 degrees. The asymmetric unit holds La at (0.0000, 0.0000, 0.0000), H at (0.5000, 0.5000, 0.5000), S at (0.5000, 0.5000, 0.0000) and N at (0.0000, 0.5000, 0.5000).



[4]
Compound: LaTeHN2
Source: Alexandria
Functional: PBE
Structure: optimized geometry

The calculation puts the theoretical density at 4.08 g/cm3. The electronic total energy comes out at -4.35 eV per atom.

The space group is P4/mmm (No. 123) and the conventional cell measures 4.0955, 4.0955 and 7.1653 Å, with angles of 90.00, 90.00 and 90.00 degrees. The asymmetric unit holds La at (0.0000, 0.0000, 0.0000), Te at (0.0000, 0.0000, 0.5000), H at (0.5000, 0.5000, 0.5000) and N at (0.0000, 0.5000, 0.0000).



[5]
Compound: La2TeHN
Source: Alexandria
Functional: PBE
Structure: optimized geometry

The calculation puts the theoretical density at 6.34 g/cm3. The electronic total energy comes out at -6.32 eV per atom.

The space group is I-4m2 (No. 119) and the conventional cell measures 4.0468, 4.0468 and 13.4450 Å, with angles of 90.00, 90.00 and 90.00 degrees. The asymmetric unit holds La at (0.0000, 0.0000, 0.1534), Te at (0.0000, 0.0000, 0.5000), H at (0.0000, 0.5000, 0.2500) and N at (0.0000, 0.5000, 0.7500).



[6]
Compound: La2TiHN
Source: Alexandria
Functional: PBE
Structure: optimized geometry

The calculation puts the theoretical density at 6.34 g/cm3. The electronic total energy comes out at -5.62 eV per atom.

The space group is P4/mmm (No. 123) and the conventional cell measures 5.2452, 5.2452 and 3.2414 Å, with angles of 90.00, 90.00 and 90.00 degrees. The asymmetric unit holds La at (0.0000, 0.5000, 0.0000), Ti at (0.0000, 0.0000, 0.5000), H at (0.5000, 0.5000, 0.5000) and N at (0.5000, 0.5000, 0.0000).



[7]
Compound: La2VHN3
Source: Alexandria
Functional: PBE
Structure: optimized geometry

The calculation puts the theoretical density at 6.63 g/cm3. The electronic total energy comes out at -7.90 eV per atom.

The space group is Immm (No. 71) and the conventional cell measures 3.7021, 3.9278 and 12.8022 Å, with angles of 90.00, 90.00 and 90.00 degrees. The asymmetric unit holds La at (0.0000, 0.0000, 0.1453), V at (0.0000, 0.0000, 0.5000), H at (0.0000, 0.5000, 0.0000), N at (0.0000, 0.0000, 0.3435) and N at (0.0000, 0.5000, 0.5000).



[8]
Compound: LaVHN2
Source: Alexandria
Functional: PBE
Structure: optimized geometry

The calculation puts the theoretical density at 6.47 g/cm3. The electronic total energy comes out at -7.83 eV per atom.

The space group is P4/mmm (No. 123) and the conventional cell measures 3.9424, 3.9424 and 3.6167 Å, with angles of 90.00, 90.00 and 90.00 degrees. The asymmetric unit holds La at (0.0000, 0.0000, 0.0000), V at (0.5000, 0.5000, 0.5000), H at (0.5000, 0.5000, 0.0000) and N at (0.0000, 0.5000, 0.5000).